Record 1
## HoZnCoCu (PBE)

Data for HoZnCoCu after structural relaxation.

a = 6.3307 Å, b = 6.3307 Å, c = 6.3307 Å
α = 90.00°, β = 90.00°, γ = 90.00°
Space group F-43m (No. 216)
One atom of each set of equivalent atoms:
Ho 0.0000 0.0000 0.0000
Zn 0.0000 0.0000 0.5000
Co 0.2500 0.2500 0.2500
Cu 0.2500 0.2500 0.7500

Calculated values
For the density of states at the Fermi level, the calculation gives 12.154 states/eV per cell. Its formation energy is -0.34 eV per formula unit.

=====

Record 2
## CoCu3I9 (PBE)

Data for CoCu3I9 after structural relaxation.

a = 20.3802 Å, b = 9.0869 Å, c = 13.1119 Å
α = 90.00°, β = 128.21°, γ = 90.00°
Space group Cc (No. 9)
One atom of each set of equivalent atoms:
Co 0.0000 0.2390 0.0000
Cu 0.1202 0.4088 0.8206
Cu 0.2685 0.0284 0.7245
Cu 0.3700 0.4037 0.6652
I 0.0042 0.1230 0.1886
I 0.1122 0.0577 0.0330
I 0.1228 0.4123 0.1729
I 0.1798 0.1677 0.7823
I 0.2718 0.3622 0.0316
I 0.2767 0.1757 0.5674
I 0.3856 0.4623 0.3516
I 0.3907 0.0623 0.4473
I 0.4922 0.1421 0.3049

Calculated values
The calculation puts the formation energy from raw total energies at -0.027 eV/atom. For the density of states at the Fermi level, the calculation gives 58.175 states/eV per cell.

=====

Record 3
## CoCu2I (PBE)

Data for CoCu2I after structural relaxation.

a = 6.3646 Å, b = 6.3646 Å, c = 8.6787 Å
α = 90.00°, β = 90.00°, γ = 90.00°
Space group I-42d (No. 122)
One atom of each set of equivalent atoms:
Co 0.0000 0.0000 0.0000
Cu 0.2149 0.2500 0.1250
I 0.0000 0.0000 0.5000

Calculated values
The calculation puts the formation energy from raw total energies at 0.893 eV/atom. For the density of states at the Fermi level, the calculation gives 1.568 states/eV per cell. The energy above the most stable polymorph in this dataset comes out at 0.0156 eV per atom.

=====

Record 4
## Co3CuI (PBE)

Data for Co3CuI after structural relaxation.

a = 4.4370 Å, b = 4.4370 Å, c = 4.4370 Å
α = 90.00°, β = 90.00°, γ = 90.00°
Space group Pm-3m (No. 221)
One atom of each set of equivalent atoms:
Co 0.0000 0.0000 0.5000
Cu 0.0000 0.0000 0.0000
I 0.5000 0.5000 0.5000

Calculated values
The calculation puts the formation energy from raw total energies at 1.244 eV/atom. For the density of states at the Fermi level, the calculation gives 9.287 states/eV per cell. The energy above the most stable polymorph in this dataset comes out at 0.0000 eV per atom.